A plane-wave DFT calculation with PBE with a Hubbard U was carried out for PuMnIO2 after structural relaxation. Values from VASP.

E_tot: -8.58 eV per atom
space-group type: P2_1/m, No. 11
density: 6.85 g/cm3

```
&SYSTEM
  ibrav = 0, nat = 10, ntyp = 4
/
ATOMIC_SPECIES
Pu 244.00 Pu.upf
Mn 54.94 Mn.upf
I 126.90 I.upf
O 16.00 O.upf
CELL_PARAMETERS angstrom
7.5673 0.0000 0.0000
0.0000 4.1581 0.0000
-3.3711 0.0000 7.0541
ATOMIC_POSITIONS crystal
Pu 0.1538 0.2500 0.4354
Pu 0.8462 0.7500 0.5646
Mn 0.1089 0.2500 0.9306
Mn 0.8911 0.7500 0.0694
I 0.4943 0.2500 0.2533
I 0.5057 0.7500 0.7467
O 0.0151 0.7500 0.3849
O 0.0274 0.7500 0.8804
O 0.9726 0.2500 0.1196
O 0.9849 0.2500 0.6151
```